No. 1
Compound: Th2TiNi
Source: the Alexandria database
Functional: GGA-PBE
Structure: optimized geometry

Results
Formation energy: 0.411 eV/atom

Cell: 3.390 3.390 29.685 Å, 90.00 90.00 120.00°
Positions (direct):
Th1 0.000 0.000 0.098
Th2 0.000 0.000 0.902
Th3 0.333 0.667 0.569
Th4 0.333 0.667 0.765
Th5 0.667 0.333 0.235
Th6 0.667 0.333 0.431
Ti1 0.000 0.000 0.000
Ti2 0.333 0.667 0.667
Ti3 0.667 0.333 0.333
Ni1 0.000 0.000 0.500
Ni2 0.333 0.667 0.167
Ni3 0.667 0.333 0.833

=====

No. 2
Compound: SrPm5Tl8
Source: the Alexandria database
Functional: GGA-PBE
Structure: optimized geometry

Results
Formation energy: -0.295 eV/atom

Cell: 8.262 8.262 8.262 Å, 109.41 109.41 109.59°
Positions (direct):
Sr1 0.000 0.000 0.000
Pm1 0.255 0.607 0.103
Pm2 0.393 0.497 0.649
Pm3 0.503 0.152 0.897
Pm4 0.750 0.250 0.500
Pm5 0.848 0.745 0.351
Tl1 0.109 0.188 0.719
Tl2 0.124 0.710 0.728
Tl3 0.290 0.018 0.414
Tl4 0.470 0.390 0.281
Tl5 0.604 0.876 0.586
Tl6 0.610 0.891 0.079
Tl7 0.812 0.530 0.921
Tl8 0.982 0.396 0.272

=====

No. 3
Compound: HoMg2In2
Source: the Alexandria database
Functional: GGA-PBE
Structure: optimized geometry

Results
Formation energy: -0.062 eV/atom
Distance to the lowest polymorph of the same formula: 0.131 eV per atom

Cell: 5.106 5.106 12.081 Å, 90.00 90.00 120.00°
Positions (direct):
Ho1 0.000 0.000 0.250
Ho2 0.000 0.000 0.750
Mg1 0.333 0.667 0.105
Mg2 0.333 0.667 0.395
Mg3 0.667 0.333 0.605
Mg4 0.667 0.333 0.895
In1 0.000 0.000 0.000
In2 0.000 0.000 0.500
In3 0.333 0.667 0.750
In4 0.667 0.333 0.250

=====

No. 4
Compound: Nd6Ho3Sc2
Source: the Alexandria database
Functional: GGA-PBE
Structure: optimized geometry

Results
Formation energy: 0.314 eV/atom
Distance to the lowest polymorph of the same formula: 0.122 eV per atom

Cell: 16.768 16.768 16.768 Å, 163.78 163.78 23.02°
Positions (direct):
Nd1 0.115 0.615 0.500
Nd2 0.205 0.205 0.000
Nd3 0.385 0.885 0.500
Nd4 0.615 0.115 0.500
Nd5 0.795 0.795 0.000
Nd6 0.885 0.385 0.500
Ho1 0.308 0.308 0.000
Ho2 0.500 0.500 0.000
Ho3 0.692 0.692 0.000
Sc1 0.042 0.042 0.000
Sc2 0.958 0.958 0.000

=====

No. 5
Compound: KP2H6
Source: the Alexandria database
Functional: GGA-PBE
Structure: optimized geometry

Results
Total DFT energy (no corrections): -3.5474 eV/atom

Cell: 8.046 6.609 9.444 Å, 56.92 43.49 79.59°
Positions (direct):
K1 0.000 0.000 0.000
K2 0.250 0.250 0.250
P1 0.304 0.571 0.772
P2 0.478 0.897 0.946
P3 0.571 0.304 0.353
P4 0.897 0.478 0.679
H1 0.002 0.276 0.650
H2 0.149 0.646 0.510
H3 0.178 0.600 0.974
H4 0.233 0.774 0.677
H5 0.276 0.002 0.072
H6 0.554 0.740 0.604
H7 0.573 0.933 0.017
H8 0.600 0.178 0.248
H9 0.646 0.149 0.696
H10 0.740 0.554 0.101
H11 0.774 0.233 0.317
H12 0.933 0.573 0.476

=====

No. 6
Compound: ScTa4Os5
Source: the Alexandria database
Functional: GGA-PBE
Structure: optimized geometry

Results
Formation energy: -0.334 eV/atom

Cell: 3.211 3.211 15.817 Å, 90.00 90.00 90.00°
Positions (direct):
Sc1 0.000 0.000 0.000
Ta1 0.000 0.000 0.200
Ta2 0.000 0.000 0.401
Ta3 0.000 0.000 0.599
Ta4 0.000 0.000 0.800
Os1 0.500 0.500 0.106
Os2 0.500 0.500 0.304
Os3 0.500 0.500 0.500
Os4 0.500 0.500 0.696
Os5 0.500 0.500 0.894